# 1
A relaxed structure of PmNdSe, computed with GGA-PBE.

Values from the calculation:
Space-group type: P3m1

abc: 4.0157 4.0157 6.7330
angles: 90.00 90.00 120.00
Last column: nearest neighbours and their distance in Å.
Fractional coordinates of all 3 atoms:
Nd: 0.3333 0.6667 0.6094  3 Se 2.98
Se: 0.6667 0.3333 0.3315  3 Pm 2.96, 3 Nd 2.98
Pm: 0.0000 0.0000 0.0591  3 Se 2.96


# 2
A relaxed structure of PmNdSiSe, computed with GGA-PBE.

Values from the calculation:
Space-group type: R3m

abc: 4.2330 4.2330 7.4291
angles: 73.45 73.45 60.00
Last column: nearest neighbours and their distance in Å.
Fractional coordinates of all 4 atoms:
Pm: 0.6975 0.6975 0.9074  3 Si 2.96, 3 Se 3.04
Nd: 0.1905 0.1905 0.4284  3 Si 2.97, 3 Se 3.06
Si: 0.4435 0.4435 0.6696  3 Pm 2.96, 3 Nd 2.97
Se: 0.9449 0.9449 0.1654  3 Pm 3.04, 3 Nd 3.06


# 3
A relaxed structure of Pm2NdSmSe4, computed with GGA-PBE.

Values from the calculation:
Space-group type: P2/m

abc: 4.1529 7.2868 7.3178
angles: 71.07 90.00 90.00
Last column: nearest neighbours and their distance in Å.
Fractional coordinates of all 8 atoms:
Pm: 0.0000 0.0000 0.0000  6 Se 2.98
Pm: 0.5000 0.0000 0.5000  6 Se 2.96
Nd: 0.5000 0.5000 0.0000  6 Se 2.98
Sm: 0.0000 0.5000 0.5000  6 Se 2.96
Se: 0.0000 0.7513 0.7473  3 Pm 2.96-2.98, 1 Sm 2.96, 2 Nd 2.98
Se: 0.0000 0.2487 0.2527  3 Pm 2.96-2.98, 1 Sm 2.96, 2 Nd 2.98
Se: 0.5000 0.7494 0.2525  3 Pm 2.96-2.98, 2 Sm 2.96, 1 Nd 2.98
Se: 0.5000 0.2506 0.7475  3 Pm 2.96-2.98, 2 Sm 2.96, 1 Nd 2.98


# 4
A relaxed structure of Pm3Nd4SmSe8, computed with GGA-PBE.

Values from the calculation:
Space-group type: R-3m

abc: 8.4201 8.4294 8.4191
angles: 119.95 120.00 90.00
Last column: nearest neighbours and their distance in Å.
Fractional coordinates of all 16 atoms:
Pm: 0.5000 0.5000 0.0000  6 Se 2.96-2.97
Pm: 0.5000 0.5000 0.5000  6 Se 2.96-2.97
Pm: 0.0000 0.5000 0.5000  6 Se 2.96-2.97
Nd: 0.5000 0.0000 0.0000  6 Se 3.00
Nd: 0.5000 0.0000 0.5000  6 Se 2.99
Nd: 0.0000 0.0000 0.0000  6 Se 2.99
Nd: 0.0000 0.0000 0.5000  6 Se 2.99
Sm: 0.0000 0.5000 0.0000  6 Se 2.95-2.96
Se: 0.2478 0.7459 0.9977  1 Sm 2.95, 2 Pm 2.96-2.97, 3 Nd 2.99-3.00
Se: 0.2486 0.7465 0.4972  1 Sm 2.96, 2 Pm 2.97, 3 Nd 2.99-3.00
Se: 0.2513 0.2532 0.5025  3 Pm 2.96-2.97, 3 Nd 2.99
Se: 0.7499 0.7459 0.9977  1 Sm 2.95, 2 Pm 2.96-2.97, 3 Nd 2.99-3.00
Se: 0.2501 0.2541 0.0023  1 Sm 2.95, 2 Pm 2.96-2.97, 3 Nd 2.99-3.00
Se: 0.7487 0.7468 0.4975  3 Pm 2.96-2.97, 3 Nd 2.99
Se: 0.7514 0.2535 0.5028  1 Sm 2.96, 2 Pm 2.97, 3 Nd 2.99-3.00
Se: 0.7522 0.2541 0.0023  1 Sm 2.95, 2 Pm 2.96-2.97, 3 Nd 2.99-3.00


# 5
A relaxed structure of PmNd3Sm2Se6, computed with GGA-PBE.

Values from the calculation:
Space-group type: C2/m

abc: 7.2867 7.2867 7.2975
angles: 99.55 99.55 120.27
Last column: nearest neighbours and their distance in Å.
Fractional coordinates of all 12 atoms:
Pm: 0.0000 0.0000 0.0000  6 Se 2.96-2.97
Nd: 0.1659 0.8341 0.5000  6 Se 2.99
Nd: 0.8341 0.1659 0.5000  6 Se 2.99
Nd: 0.5000 0.5000 0.5000  6 Se 2.98-3.00
Sm: 0.3335 0.6665 0.0000  6 Se 2.95-2.96
Sm: 0.6665 0.3335 0.0000  6 Se 2.95-2.96
Se: 0.9181 0.5834 0.7542  2 Sm 2.95-2.96, 1 Pm 2.97, 3 Nd 2.99-3.00
Se: 0.7470 0.7470 0.2452  2 Sm 2.95, 1 Pm 2.96, 3 Nd 2.98-2.99
Se: 0.0819 0.4166 0.2458  2 Sm 2.95-2.96, 1 Pm 2.97, 3 Nd 2.99-3.00
Se: 0.5834 0.9181 0.7542  2 Sm 2.95-2.96, 1 Pm 2.97, 3 Nd 2.99-3.00
Se: 0.2530 0.2530 0.7548  2 Sm 2.95, 1 Pm 2.96, 3 Nd 2.98-2.99
Se: 0.4166 0.0819 0.2458  2 Sm 2.95-2.96, 1 Pm 2.97, 3 Nd 2.99-3.00


# 6
A relaxed structure of PmNd2SmSe4, computed with GGA-PBE.

Values from the calculation:
Space-group type: P2/m

abc: 4.1628 7.3131 7.3194
angles: 71.05 90.00 90.00
Last column: nearest neighbours and their distance in Å.
Fractional coordinates of all 8 atoms:
Pm: 0.5000 0.5000 0.0000  6 Se 2.96-2.97
Nd: 0.0000 0.0000 0.0000  6 Se 3.00
Nd: 0.5000 0.0000 0.5000  6 Se 2.99
Sm: 0.0000 0.5000 0.5000  6 Se 2.95-2.96
Se: 0.0000 0.7463 0.7503  1 Sm 2.96, 2 Pm 2.96, 3 Nd 2.99-3.00
Se: 0.0000 0.2537 0.2497  1 Sm 2.96, 2 Pm 2.96, 3 Nd 2.99-3.00
Se: 0.5000 0.7454 0.2525  2 Sm 2.95, 1 Pm 2.97, 3 Nd 2.99-3.00
Se: 0.5000 0.2546 0.7475  2 Sm 2.95, 1 Pm 2.97, 3 Nd 2.99-3.00


# 7
A relaxed structure of Pm4NdSmSe8, computed with GGA-PBE.

Values from the calculation:
Space-group type: R3m

abc: 8.6529 8.6529 8.6452
angles: 59.97 59.97 60.00
Last column: nearest neighbours and their distance in Å.
Fractional coordinates of all 14 atoms:
Pm: 0.6247 0.6247 0.1260  4 Se 2.80-2.81
Pm: 0.9997 0.5009 0.4998  6 Se 2.96-2.97
Pm: 0.5009 0.9997 0.4998  6 Se 2.96-2.97
Pm: 0.9997 0.9997 0.4998  6 Se 2.96-2.97
Nd: 0.3751 0.3751 0.8747  4 Se 2.82-2.83
Sm: 0.9999 0.9999 0.0004  6 Se 2.95
Se: 0.2408 0.7754 0.7430  1 Nd 2.83, 1 Sm 2.95, 2 Pm 2.97
Se: 0.7754 0.2408 0.7430  1 Nd 2.83, 1 Sm 2.95, 2 Pm 2.97
Se: 0.2408 0.2408 0.7430  1 Nd 2.83, 1 Sm 2.95, 2 Pm 2.97
Se: 0.2418 0.2418 0.2747  1 Nd 2.82, 3 Pm 2.96
Se: 0.7586 0.2270 0.2558  3 Pm 2.81-2.97, 1 Sm 2.95
Se: 0.2270 0.7586 0.2558  3 Pm 2.81-2.97, 1 Sm 2.95
Se: 0.7586 0.7586 0.2558  3 Pm 2.81-2.97, 1 Sm 2.95
Se: 0.7572 0.7572 0.7285  4 Pm 2.80-2.97


# 8
A relaxed structure of Pm3Nd2SmSe6, computed with GGA-PBE.

Values from the calculation:
Space-group type: C2/m

abc: 4.1891 8.4490 9.3907
angles: 103.02 102.89 90.00
Last column: nearest neighbours and their distance in Å.
Fractional coordinates of all 12 atoms:
Pm: 0.5000 0.5000 0.0000  6 Se 2.95-2.98
Pm: 0.8323 0.1669 0.6646  6 Se 2.96-2.97
Pm: 0.1677 0.8331 0.3354  6 Se 2.96-2.97
Nd: 0.8330 0.6660 0.6659  6 Se 2.98-2.99
Nd: 0.1670 0.3340 0.3341  6 Se 2.98-2.99
Sm: 0.5000 0.0000 0.0000  6 Se 2.95-2.97
Se: 0.3344 0.9194 0.6688  1 Sm 2.95, 3 Pm 2.97, 2 Nd 2.99
Se: 0.6658 0.5848 0.3316  3 Pm 2.95-2.96, 3 Nd 2.98
Se: 0.6656 0.0806 0.3312  1 Sm 2.95, 3 Pm 2.97, 2 Nd 2.99
Se: 0.9990 0.2479 0.9980  2 Sm 2.97, 3 Pm 2.97-2.98, 1 Nd 2.99
Se: 0.0010 0.7521 0.0020  2 Sm 2.97, 3 Pm 2.97-2.98, 1 Nd 2.99
Se: 0.3342 0.4152 0.6684  3 Pm 2.95-2.96, 3 Nd 2.98


# 9
A relaxed structure of PmNdSm2Se4, computed with GGA-PBE.

Values from the calculation:
Space-group type: P2/m

abc: 4.1450 7.2898 7.2960
angles: 71.10 90.00 90.00
Last column: nearest neighbours and their distance in Å.
Fractional coordinates of all 8 atoms:
Pm: 0.0000 0.5000 0.5000  6 Se 2.97-2.98
Nd: 0.5000 0.5000 0.0000  6 Se 2.99
Sm: 0.0000 0.0000 0.0000  6 Se 2.96
Sm: 0.5000 0.0000 0.5000  6 Se 2.94-2.95
Se: 0.0000 0.7542 0.7472  3 Sm 2.94-2.96, 1 Pm 2.98, 2 Nd 2.99
Se: 0.0000 0.2458 0.2528  3 Sm 2.94-2.96, 1 Pm 2.98, 2 Nd 2.99
Se: 0.5000 0.7532 0.2502  3 Sm 2.95-2.96, 2 Pm 2.97, 1 Nd 2.99
Se: 0.5000 0.2468 0.7498  3 Sm 2.95-2.96, 2 Pm 2.97, 1 Nd 2.99


# 10
A relaxed structure of Pm4Nd3SmSe8, computed with GGA-PBE.

Values from the calculation:
Space-group type: R-3m

abc: 8.4193 8.4126 8.4157
angles: 119.98 120.01 90.00
Last column: nearest neighbours and their distance in Å.
Fractional coordinates of all 16 atoms:
Pm: 0.5000 0.0000 0.0000  6 Se 2.98-2.99
Pm: 0.5000 0.0000 0.5000  6 Se 2.96
Pm: 0.0000 0.0000 0.0000  6 Se 2.96
Pm: 0.0000 0.0000 0.5000  6 Se 2.96
Nd: 0.5000 0.5000 0.0000  6 Se 2.99
Nd: 0.5000 0.5000 0.5000  6 Se 2.99
Nd: 0.0000 0.5000 0.5000  6 Se 2.99
Sm: 0.0000 0.5000 0.0000  6 Se 2.97
Se: 0.2492 0.7513 0.0021  3 Pm 2.96-2.99, 1 Sm 2.97, 2 Nd 2.99
Se: 0.2492 0.7514 0.4985  3 Pm 2.96-2.98, 1 Sm 2.97, 2 Nd 2.99
Se: 0.2490 0.2468 0.4979  3 Pm 2.96, 3 Nd 2.99
Se: 0.7529 0.7513 0.0021  3 Pm 2.96-2.99, 1 Sm 2.97, 2 Nd 2.99
Se: 0.2471 0.2487 0.9979  3 Pm 2.96-2.99, 1 Sm 2.97, 2 Nd 2.99
Se: 0.7510 0.7532 0.5021  3 Pm 2.96, 3 Nd 2.99
Se: 0.7508 0.2486 0.5015  3 Pm 2.96-2.98, 1 Sm 2.97, 2 Nd 2.99
Se: 0.7508 0.2487 0.9979  3 Pm 2.96-2.99, 1 Sm 2.97, 2 Nd 2.99


# 11
A relaxed structure of PmNd3Sm4Se8, computed with GGA-PBE.

Values from the calculation:
Space-group type: C2/m

abc: 8.3952 8.3980 8.3934
angles: 119.93 120.01 90.00
Last column: nearest neighbours and their distance in Å.
Fractional coordinates of all 16 atoms:
Pm: 0.0000 0.5000 0.0000  6 Se 2.98
Nd: 0.5000 0.5000 0.0000  6 Se 2.99
Nd: 0.5000 0.5000 0.5000  6 Se 2.99
Nd: 0.0000 0.5000 0.5000  6 Se 2.99
Sm: 0.5000 0.0000 0.0000  6 Se 2.96
Sm: 0.5000 0.0000 0.5000  6 Se 2.95
Sm: 0.0000 0.0000 0.0000  6 Se 2.95
Sm: 0.0000 0.0000 0.5000  6 Se 2.95
Se: 0.2508 0.7544 0.0036  3 Sm 2.95-2.96, 1 Pm 2.98, 2 Nd 2.99
Se: 0.2508 0.7544 0.5016  3 Sm 2.95-2.96, 1 Pm 2.98, 2 Nd 2.99
Se: 0.2482 0.2445 0.4964  3 Sm 2.95, 3 Nd 2.99
Se: 0.7529 0.7544 0.0036  3 Sm 2.95-2.96, 1 Pm 2.98, 2 Nd 2.99
Se: 0.2471 0.2456 0.9964  3 Sm 2.95-2.96, 1 Pm 2.98, 2 Nd 2.99
Se: 0.7518 0.7555 0.5036  3 Sm 2.95, 3 Nd 2.99
Se: 0.7492 0.2456 0.4984  3 Sm 2.95-2.96, 1 Pm 2.98, 2 Nd 2.99
Se: 0.7492 0.2456 0.9964  3 Sm 2.95-2.96, 1 Pm 2.98, 2 Nd 2.99


no.,formation energy (no corrections) (eV per atom),total DFT energy (no corrections) (eV/atom)
1,-1.102,-5.44
2,-1.301,-5.91
3,-1.829,-5.94
4,-1.830,-5.95
5,-1.834,-5.95
6,-1.831,-5.95
7,-1.731,-5.76
8,-1.833,-5.95
9,-1.825,-5.94
10,-1.828,-5.95
11,-1.822,-5.94